1.
Material: Ho3Er4Te2Ir2
Method: DFT, PBE
State: relaxed

```
Ho3Er4Te2Ir2
1.0
-1.578 3.715 8.416
-6.988 -0.606 -6.158
5.774 -3.094 6.648
Te Er Ir Ho
2 4 2 3
Cartesian
-4.184 -0.552 1.188 Te
-0.174 0.063 0.046 Te
2.407 0.593 10.434 Er
2.949 -2.352 5.259 Er
0.859 0.364 4.875 Er
-1.718 0.906 2.586 Er
-5.449 2.489 5.295 Ir
-1.677 -0.901 4.754 Ir
0.738 -2.024 2.264 Ho
-5.841 2.120 1.540 Ho
-2.072 1.509 6.258 Ho
```

Calculated values
space-group type = Imm2, No. 44
density = 10.39 g cm⁻³



2.
Material: RbNd2Cu3TeS4
Method: DFT, PBE
State: relaxed

```
RbNd2Cu3TeS4
1.0
1.686 3.904 5.999
-3.614 -5.740 -2.841
14.250 -10.312 2.707
Cu S Nd Rb Te
6 8 4 2 2
Cartesian
10.524 -7.195 4.944 Cu
1.798 -4.952 0.921 Cu
6.277 -7.295 2.294 Cu
6.045 -4.852 3.572 Cu
12.276 -11.636 3.433 Cu
0.047 -0.511 2.432 Cu
8.926 -3.541 6.092 S
12.034 -9.554 4.496 S
-1.764 -4.872 -1.207 S
3.397 -8.606 -0.227 S
8.018 -6.648 3.733 S
4.304 -5.499 2.133 S
0.288 -2.593 1.370 S
14.086 -7.275 7.073 S
1.911 1.230 4.582 Nd
10.412 -13.377 1.283 Nd
5.711 -9.976 0.390 Nd
6.611 -2.171 5.475 Nd
12.120 -4.291 7.606 Rb
0.203 -7.856 -1.741 Rb
3.916 -1.097 4.454 Te
8.406 -11.050 1.411 Te
```

Calculated values
space-group type = Cmcm, No. 63
density = 5.25 g cm⁻³



| no. | total DFT energy (no corrections) (eV per atom) |
| --- | --- |
| 1 | -6.019 |
| 2 | -4.841 |